KNaPb2: relaxed, PBE.

Its total energy is -2.48 eV/atom. The value obtained for the energy above the most stable polymorph in this dataset is 9.5 kJ/mol of atoms. Its formation enthalpy at 0 K is -26 meV/atom.

The structure belongs to space group R3m (No. 160, hexagonal axes); the cell edges are 3.6394, 3.6394 and 34.5385 Å and the angles 90.00°, 90.00° and 120.00°. The inequivalent atoms are K at (0.0000, 0.0000, 0.0000), Na at (0.0000, 0.0000, 0.8333), Pb at (0.0000, 0.0000, 0.2443) and Pb at (0.0000, 0.0000, 0.4224).